Entry 1:
Entry from Alexandria via LeMat-Bulk: Li5CaCd2 after structural relaxation (PBE).

Structure (POSCAR):
```
Li5CaCd2
1.0
4.168 0.000 0.000
2.084 6.770 -0.215
2.084 1.832 6.521
Li Ca Cd
5 1 2
direct
0.000 0.500 0.500
0.648 0.539 0.165
0.352 0.461 0.835
0.352 0.835 0.461
0.648 0.165 0.539
0.000 0.000 0.000
0.738 0.762 0.762
0.262 0.238 0.238
```

Space group: No. 71
ΔH_f (0 K) in eV per atom: -0.1180
DFT total energy in eV/atom: -1.793



Entry 2:
Entry from Alexandria via LeMat-Bulk: LiCa6Cd5 after structural relaxation (PBE).

Structure (POSCAR):
```
LiCa6Cd5
1.0
-5.035 2.039 -0.756
0.729 -0.986 -7.512
-5.673 -6.519 0.305
Ca Cd Li
6 5 1
direct
0.831 0.749 0.338
0.831 0.251 0.338
0.500 0.254 0.000
0.500 0.746 0.000
0.169 0.749 0.662
0.169 0.251 0.662
0.666 0.500 0.668
0.337 0.000 0.325
0.000 0.500 0.000
0.663 0.000 0.675
0.334 0.500 0.332
0.000 0.000 0.000
```

Space group: No. 65
ΔH_f (0 K) in eV per atom: -0.3066
DFT total energy in eV/atom: -1.848



Entry 3:
Entry from Alexandria via LeMat-Bulk: Li4Ca5Cd after structural relaxation (PBE).

Structure (POSCAR):
```
Li4Ca5Cd
1.0
3.949 0.000 0.000
0.000 3.949 0.000
0.000 0.000 19.550
Li Ca Cd
4 5 1
direct
0.000 0.000 0.196
0.000 0.000 0.399
0.000 0.000 0.601
0.000 0.000 0.804
0.500 0.500 0.094
0.500 0.500 0.298
0.500 0.500 0.500
0.500 0.500 0.702
0.500 0.500 0.906
0.000 0.000 0.000
```

Space group: No. 123
ΔH_f (0 K) in eV per atom: -0.0620
DFT total energy in eV/atom: -1.920



Entry 4:
Entry from Alexandria via LeMat-Bulk: Li5CaCd after structural relaxation (PBE).

Structure (POSCAR):
```
Li5CaCd
1.0
-0.891 -3.950 -0.255
3.781 -0.772 -1.252
2.880 -1.260 9.475
Li Ca Cd
5 1 1
direct
0.000 0.500 0.217
0.000 0.500 0.783
0.500 0.000 0.217
0.500 0.000 0.783
0.000 0.000 0.000
0.000 0.000 0.500
0.500 0.500 0.000
```

Space group: No. 123
ΔH_f (0 K) in eV per atom: -0.0373
DFT total energy in eV/atom: -1.821



Entry 5:
Entry from Alexandria via LeMat-Bulk: Li2CaCd9 after structural relaxation (PBE).

Structure (POSCAR):
```
Li2CaCd9
1.0
-7.069 -2.770 0.417
-1.248 -7.927 -4.487
-1.465 -5.625 7.123
Li Ca Cd
4 2 18
direct
0.875 0.250 0.750
0.875 0.750 0.250
0.875 0.250 0.250
0.375 0.750 0.750
0.500 0.000 0.000
0.250 0.500 0.500
0.750 0.500 0.500
0.000 0.000 0.000
0.008 0.919 0.678
0.605 0.081 0.322
0.677 0.178 0.581
0.436 0.822 0.419
0.742 0.822 0.581
0.145 0.178 0.419
0.073 0.919 0.322
0.314 0.081 0.678
0.742 0.581 0.822
0.145 0.419 0.178
0.073 0.322 0.919
0.314 0.678 0.081
0.008 0.678 0.919
0.605 0.322 0.081
0.677 0.581 0.178
0.436 0.419 0.822
```

Space group: No. 141
ΔH_f (0 K) in eV per atom: -0.1947
DFT total energy in eV/atom: -1.367



Entry 6:
Entry from Alexandria via LeMat-Bulk: LiCaCd after structural relaxation (PBE).

Structure (POSCAR):
```
LiCaCd
1.0
4.915 0.000 0.000
-2.458 4.257 0.000
0.000 0.000 3.814
Ca Li Cd
1 1 1
direct
0.000 0.000 0.000
0.333 0.667 0.499
0.667 0.333 0.501
```

Space group: No. 156
ΔH_f (0 K) in eV per atom: -0.2052
DFT total energy in eV/atom: -1.815



Entry 7:
Entry from Alexandria via LeMat-Bulk: Li16Ca2Cd after structural relaxation (PBE).

Structure (POSCAR):
```
Li16Ca2Cd
1.0
-0.324 7.528 0.367
-7.526 0.521 -0.009
-0.823 0.445 7.486
Li Ca Cd
16 2 1
direct
0.715 0.999 0.283
0.999 0.283 0.715
0.283 0.715 0.999
0.999 0.715 0.283
0.715 0.283 0.999
0.283 0.999 0.715
0.354 0.857 0.354
0.857 0.354 0.354
0.354 0.354 0.857
0.648 0.139 0.648
0.139 0.648 0.648
0.648 0.648 0.139
0.994 0.511 0.994
0.511 0.994 0.994
0.994 0.994 0.511
0.100 0.100 0.100
0.661 0.661 0.661
0.345 0.345 0.345
0.901 0.901 0.901
```

Space group: No. 160
ΔH_f (0 K) in eV per atom: -0.0178
DFT total energy in eV/atom: -1.888



Entry 8:
Entry from Alexandria via LeMat-Bulk: Li7Ca3Cd4 after structural relaxation (PBE).

Structure (POSCAR):
```
Li7Ca3Cd4
1.0
4.700 0.000 1.186
1.727 8.138 3.062
0.266 0.291 8.854
Li Ca Cd
7 3 4
direct
0.326 0.823 0.524
0.503 0.192 0.801
0.862 0.355 0.921
0.674 0.177 0.476
0.138 0.645 0.079
0.000 0.000 0.000
0.497 0.808 0.199
0.294 0.206 0.206
0.706 0.794 0.794
0.000 0.500 0.500
0.661 0.478 0.200
0.339 0.522 0.800
0.873 0.913 0.340
0.127 0.087 0.660
```

Space group: No. 12
ΔH_f (0 K) in eV per atom: -0.1819
DFT total energy in eV/atom: -1.829



Entry 9:
Entry from Alexandria via LeMat-Bulk: Li8Ca3Cd after structural relaxation (PBE).

Structure (POSCAR):
```
Li8Ca3Cd
1.0
7.752 -0.096 -0.153
-3.156 7.081 0.153
-3.156 -2.927 6.449
Li Ca Cd
8 3 1
direct
0.440 0.163 0.163
0.560 0.723 0.723
0.000 0.837 0.277
0.000 0.277 0.837
0.264 0.345 0.345
0.736 0.082 0.082
0.000 0.655 0.918
0.000 0.918 0.655
0.500 0.750 0.250
0.500 0.250 0.750
0.000 0.500 0.500
0.000 0.000 0.000
```

Space group: No. 121
ΔH_f (0 K) in eV per atom: 0.1510
DFT total energy in eV/atom: -1.702



Entry 10:
Entry from Alexandria via LeMat-Bulk: LiCaCd5 after structural relaxation (PBE).

Structure (POSCAR):
```
LiCaCd5
1.0
-1.330 4.662 -2.600
1.003 -4.217 -3.387
-6.209 -1.650 0.217
Li Ca Cd
1 1 5
direct
0.500 0.500 0.500
0.000 0.000 0.000
0.500 0.000 0.259
0.000 0.500 0.259
0.000 0.000 0.500
0.000 0.500 0.741
0.500 0.000 0.741
```

Space group: No. 65
ΔH_f (0 K) in eV per atom: -0.1320
DFT total energy in eV/atom: -1.345



Entry 11:
Entry from Alexandria via LeMat-Bulk: LiCaCd2 after structural relaxation (PBE).

Structure (POSCAR):
```
LiCaCd2
1.0
-2.379 1.995 1.780
-0.347 -2.814 2.689
5.199 2.896 3.702
Ca Cd Li
1 2 1
direct
0.500 0.500 0.757
0.000 0.000 0.025
0.500 0.500 0.272
0.000 0.000 0.446
```

Space group: No. 25
ΔH_f (0 K) in eV per atom: -0.1959
DFT total energy in eV/atom: -1.632



Entry 12:
Entry from Alexandria via LeMat-Bulk: LiCa8Cd2 after structural relaxation (PBE).

Structure (POSCAR):
```
LiCa8Cd2
1.0
-1.480 4.980 1.008
-5.769 -0.185 -7.557
-2.071 -4.983 7.686
Li Ca Cd
1 8 2
direct
0.500 0.000 0.000
0.663 0.876 0.327
0.337 0.549 0.673
0.136 0.136 0.272
0.000 0.320 0.000
0.864 0.864 0.728
0.663 0.451 0.327
0.337 0.124 0.673
0.000 0.680 0.000
0.201 0.701 0.402
0.799 0.299 0.598
```

Space group: No. 71
ΔH_f (0 K) in eV per atom: -0.0819
DFT total energy in eV/atom: -1.878



Entry 13:
Entry from Alexandria via LeMat-Bulk: LiCa3Cd4 after structural relaxation (PBE).

Structure (POSCAR):
```
LiCa3Cd4
1.0
3.707 0.000 0.000
0.000 3.707 0.000
0.000 0.000 15.161
Ca Cd Li
3 4 1
direct
0.500 0.500 0.238
0.500 0.500 0.500
0.500 0.500 0.762
0.000 0.000 0.900
0.000 0.000 0.100
0.000 0.000 0.368
0.000 0.000 0.632
0.500 0.500 0.000
```

Space group: No. 123
ΔH_f (0 K) in eV per atom: -0.3132
DFT total energy in eV/atom: -1.761



Entry 14:
Entry from Alexandria via LeMat-Bulk: LiCaCd2 after structural relaxation (PBE).

Structure (POSCAR):
```
LiCaCd2
1.0
4.569 0.000 0.000
0.000 4.569 0.000
2.284 2.284 10.466
Ca Li Cd
2 2 4
direct
0.000 0.000 0.000
0.750 0.250 0.500
0.500 0.500 0.000
0.250 0.750 0.500
0.572 0.125 0.250
0.178 0.625 0.250
0.375 0.428 0.750
0.875 0.822 0.750
```

Space group: No. 122
ΔH_f (0 K) in eV per atom: -0.0211
DFT total energy in eV/atom: -1.457



Entry 15:
Entry from Alexandria via LeMat-Bulk: Li4CaCd8 after structural relaxation (PBE).

Structure (POSCAR):
```
Li4CaCd8
1.0
5.357 0.000 0.000
2.679 7.099 0.000
2.679 0.000 7.099
Li Ca Cd
4 1 8
direct
0.000 0.000 0.500
0.500 0.000 0.500
0.000 0.500 0.000
0.500 0.500 0.000
0.000 0.000 0.000
0.000 0.350 0.650
0.000 0.650 0.350
0.350 0.650 0.650
0.650 0.350 0.350
0.500 0.786 0.214
0.500 0.214 0.786
0.286 0.214 0.214
0.714 0.786 0.786
```

Space group: No. 139
ΔH_f (0 K) in eV per atom: -0.2363
DFT total energy in eV/atom: -1.542



Entry 16:
Entry from Alexandria via LeMat-Bulk: Li6Ca12Cd after structural relaxation (PBE).

Structure (POSCAR):
```
Li6Ca12Cd
1.0
8.586 0.790 0.946
-0.521 8.606 0.946
-0.521 -0.607 8.637
Li Ca Cd
6 12 1
direct
0.742 0.903 0.252
0.748 0.258 0.097
0.097 0.748 0.258
0.258 0.097 0.748
0.252 0.742 0.903
0.903 0.252 0.742
0.800 0.541 0.438
0.438 0.800 0.541
0.541 0.438 0.800
0.200 0.459 0.562
0.562 0.200 0.459
0.459 0.562 0.200
0.012 0.151 0.359
0.849 0.641 0.988
0.641 0.988 0.849
0.988 0.849 0.641
0.151 0.359 0.012
0.359 0.012 0.151
0.000 0.000 0.000
```

Space group: No. 148
ΔH_f (0 K) in eV per atom: 0.0316
DFT total energy in eV/atom: -1.885



Entry 17:
Entry from Alexandria via LeMat-Bulk: LiCaMgCd after structural relaxation (PBE).

Structure (POSCAR):
```
LiCaMgCd
1.0
-1.867 4.149 2.442
-5.049 0.336 1.029
-1.676 -0.406 4.867
Ca Li Mg Cd
1 1 1 1
direct
0.500 0.500 0.500
0.250 0.250 0.250
0.000 0.000 0.000
0.750 0.750 0.750
```

Space group: No. 216
ΔH_f (0 K) in eV per atom: -0.1885
DFT total energy in eV/atom: -1.795



Entry 18:
Entry from Alexandria via LeMat-Bulk: Li12Ca2Mg3Cd after structural relaxation (PBE).

Structure (POSCAR):
```
Li12Ca2Mg3Cd
1.0
-3.875 11.391 7.269
-5.136 6.843 11.153
0.557 9.032 10.757
Li Ca Mg Cd
12 2 3 1
direct
0.398 0.398 0.875
0.894 0.894 0.380
0.380 0.894 0.894
0.875 0.398 0.398
0.894 0.380 0.894
0.398 0.875 0.398
0.602 0.602 0.125
0.106 0.106 0.620
0.620 0.106 0.106
0.125 0.602 0.602
0.106 0.620 0.106
0.602 0.125 0.602
0.648 0.648 0.648
0.352 0.352 0.352
0.500 0.000 0.000
0.000 0.500 0.000
0.000 0.000 0.500
0.000 0.000 0.000
```

Space group: No. 166
ΔH_f (0 K) in eV per atom: 0.0665
DFT total energy in eV/atom: -1.748



Entry 19:
Entry from Alexandria via LeMat-Bulk: Li2Ca2Mg5Cd after structural relaxation (PBE).

Structure (POSCAR):
```
Li2Ca2Mg5Cd
1.0
-2.478 3.117 -0.653
-1.980 -3.738 -10.320
-8.577 -6.017 3.825
Li Ca Mg Cd
4 4 10 2
direct
0.000 0.120 0.620
0.000 0.880 0.380
0.000 0.620 0.880
0.000 0.380 0.120
0.000 0.678 0.178
0.000 0.322 0.822
0.000 0.178 0.322
0.000 0.822 0.678
0.500 0.200 0.056
0.500 0.800 0.944
0.500 0.056 0.800
0.500 0.700 0.444
0.500 0.944 0.200
0.500 0.300 0.556
0.500 0.556 0.700
0.500 0.444 0.300
0.500 0.500 0.000
0.500 0.000 0.500
0.000 0.000 0.000
0.000 0.500 0.500
```

Space group: No. 127
ΔH_f (0 K) in eV per atom: -0.0586
DFT total energy in eV/atom: -1.730



Entry 20:
Entry from Alexandria via LeMat-Bulk: Li3Ca2MgCd12 after structural relaxation (PBE).

Structure (POSCAR):
```
Li3Ca2MgCd12
1.0
7.352 -1.617 -1.147
2.225 7.192 -1.147
2.225 1.295 7.167
Li Ca Mg Cd
3 2 1 12
direct
0.500 0.000 0.000
0.000 0.500 0.000
0.000 0.000 0.500
0.726 0.726 0.726
0.274 0.274 0.274
0.000 0.000 0.000
0.420 0.420 0.861
0.802 0.802 0.282
0.282 0.802 0.802
0.861 0.420 0.420
0.802 0.282 0.802
0.420 0.861 0.420
0.580 0.580 0.139
0.198 0.198 0.718
0.718 0.198 0.198
0.139 0.580 0.580
0.198 0.718 0.198
0.580 0.139 0.580
```

Space group: No. 166
ΔH_f (0 K) in eV per atom: -0.1057
DFT total energy in eV/atom: -1.346